Computed, not measured: a geometry-optimized Co2AuO4 structure at the PBE with a Hubbard U level of DFT.

a b c (Å): 8.539 8.539 8.539
angles (deg): 90.00 90.00 90.00
Space group Fd-3m (No. 227, origin choice 2)
Unique sites:
Co 0.000 0.000 0.000
Au 0.125 0.125 0.625
O 0.020 0.020 0.230

Results
Total DFT energy (no corrections) in eV per cell: -291.838